# 1
VASP calculation (PBE-GGA) on a relaxed MnBiPd4 crystal.

Results
Calculated volume   16.99 Å³/atom
Relative energy among the computed polymorphs   17 meV per atom

Structure (POSCAR):
```
MnBiPd4
1.0
2.374 -4.534 0.000
2.374 4.534 0.000
0.000 0.000 4.737
Mn Bi Pd
1 1 4
direct
0.000 0.000 0.000
0.500 0.500 0.500
0.160 0.840 0.500
0.335 0.665 0.000
0.665 0.335 0.000
0.840 0.160 0.500
```

# 2
VASP calculation (PBE-GGA) on a relaxed MnBi2Pd9 crystal.

Results
Calculated volume   16.83 Å³/atom

Structure (POSCAR):
```
MnBi2Pd9
1.0
4.073 0.000 0.000
0.000 4.073 0.000
0.000 0.000 12.176
Mn Bi Pd
1 2 9
direct
0.000 0.000 0.000
0.000 0.000 0.322
0.000 0.000 0.678
0.000 0.500 0.155
0.000 0.500 0.500
0.000 0.500 0.845
0.500 0.000 0.155
0.500 0.000 0.500
0.500 0.000 0.845
0.500 0.500 0.000
0.500 0.500 0.333
0.500 0.500 0.667
```

# 3
VASP calculation (PBE-GGA) on a relaxed Mn2BiPd2 crystal.

Results
Calculated volume   18.23 Å³/atom
Relative energy among the computed polymorphs   69 meV per atom

Structure (POSCAR):
```
Mn2BiPd2
1.0
7.666 0.000 0.000
0.000 7.666 0.000
0.000 0.000 3.101
Mn Bi Pd
4 2 4
direct
0.142 0.358 0.000
0.358 0.858 0.000
0.642 0.142 0.000
0.858 0.642 0.000
0.000 0.000 0.000
0.500 0.500 0.000
0.145 0.645 0.500
0.355 0.145 0.500
0.645 0.855 0.500
0.855 0.355 0.500
```

# 4
VASP calculation (PBE-GGA) on a relaxed Mn3BiPd12 crystal.

Results
Calculated volume   15.76 Å³/atom

Structure (POSCAR):
```
Mn3BiPd12
1.0
3.985 0.000 0.000
0.000 3.985 0.000
0.000 0.000 15.875
Mn Bi Pd
3 1 12
direct
0.000 0.000 0.000
0.000 0.000 0.241
0.000 0.000 0.759
0.000 0.000 0.500
0.000 0.500 0.121
0.000 0.500 0.364
0.000 0.500 0.636
0.000 0.500 0.879
0.500 0.000 0.121
0.500 0.000 0.364
0.500 0.000 0.636
0.500 0.000 0.879
0.500 0.500 0.000
0.500 0.500 0.243
0.500 0.500 0.500
0.500 0.500 0.757
```

# 5
VASP calculation (PBE-GGA) on a relaxed Mn2BiPd2 crystal.

Results
Calculated volume   18.03 Å³/atom
Relative energy among the computed polymorphs   0 meV per atom

Structure (POSCAR):
```
Mn2BiPd2
1.0
7.531 0.000 0.000
0.000 7.531 0.000
0.000 0.000 3.179
Mn Bi Pd
4 2 4
direct
0.157 0.343 0.000
0.343 0.843 0.000
0.657 0.157 0.000
0.843 0.657 0.000
0.000 0.000 0.500
0.500 0.500 0.500
0.134 0.634 0.500
0.366 0.134 0.500
0.634 0.866 0.500
0.866 0.366 0.500
```

# 6
VASP calculation (PBE-GGA) on a relaxed Mn2Bi5Pd12 crystal.

Results
Calculated volume   20.22 Å³/atom

Structure (POSCAR):
```
Mn2Bi5Pd12
1.0
8.081 -2.813 0.000
8.081 2.813 0.000
-5.047 0.000 8.452
Mn Bi Pd
2 5 12
direct
0.249 0.751 0.000
0.751 0.249 0.000
0.000 0.000 0.500
0.313 0.313 0.726
0.328 0.328 0.241
0.672 0.672 0.759
0.687 0.687 0.274
0.003 0.003 0.223
0.082 0.591 0.993
0.096 0.599 0.508
0.401 0.904 0.492
0.409 0.918 0.007
0.500 0.500 0.232
0.500 0.500 0.768
0.591 0.082 0.993
0.599 0.096 0.508
0.904 0.401 0.492
0.918 0.409 0.007
0.997 0.997 0.777
```

ΔE_f in eV/f.u., matching the order above: -1.12, -2.99, 0.06, -3.67, -0.29, -2.00
DOS(E_F) in states/eV per cell, matching the order above: 2.833, 5.677, 4.619, 15.508, 5.114, 10.339
Magnetic moment in μB/cell, matching the order above: 4.28, 4.85, 17.63, 13.94, 17.38, 8.65